Arrangement one

{
  "formula": "Rb2Ag",
  "functional": "PBE-GGA",
  "state": "optimized geometry",
  "cell": [[4.856, 0.003, 1.160], [-0.316, 7.222, 1.339], [0.187, 0.088, 9.735]],
  "species": ["Rb", "Rb", "Rb", "Rb", "Ag", "Ag"],
  "fractional_positions": [[0.907, 0.209, 0.678], [0.093, 0.791, 0.322], [0.666, 0.324, 0.171], [0.334, 0.676, 0.829], [0.262, 0.100, 0.975], [0.738, 0.900, 0.025]]
}

Arrangement two

{
  "formula": "Rb2Ag",
  "functional": "PBE-GGA",
  "state": "optimized geometry",
  "cell": [[4.438, 0.003, -0.007], [0.003, 4.438, -0.007], [-2.229, -2.229, 8.394]],
  "species": ["Rb", "Rb", "Ag"],
  "fractional_positions": [[0.124, 0.124, 0.246], [0.876, 0.876, 0.754], [0.500, 0.500, 0.000]]
}

Least stable: arrangement two

Arrangement one

{
  "formula": "RbReAg2",
  "functional": "PBE-GGA",
  "state": "optimized geometry",
  "cell": [[5.468, 0.000, 0.000], [0.000, 5.468, 0.000], [2.734, 2.734, 9.330]],
  "species": ["Re", "Re", "Rb", "Rb", "Ag", "Ag", "Ag", "Ag"],
  "fractional_positions": [[0.000, 0.000, 0.000], [0.750, 0.250, 0.500], [0.500, 0.500, 0.000], [0.250, 0.750, 0.500], [0.876, 0.125, 0.250], [0.874, 0.625, 0.250], [0.375, 0.124, 0.750], [0.875, 0.126, 0.750]]
}

Arrangement two

{
  "formula": "RbReAg2",
  "functional": "PBE-GGA",
  "state": "optimized geometry",
  "cell": [[0.817, -0.973, 4.951], [-1.313, 3.453, 3.533], [-3.952, -0.905, 3.113]],
  "species": ["Re", "Rb", "Ag", "Ag"],
  "fractional_positions": [[0.500, 0.500, 0.500], [0.000, 0.000, 0.000], [0.250, 0.250, 0.250], [0.750, 0.750, 0.750]]
}

Least stable: arrangement two

Arrangement one

{
  "formula": "RbRe3Ag",
  "functional": "PBE-GGA",
  "state": "optimized geometry",
  "cell": [[-3.543, -3.132, 1.819], [2.288, -3.909, -2.271], [2.807, -0.766, 4.148]],
  "species": ["Re", "Re", "Re", "Rb", "Ag"],
  "fractional_positions": [[0.000, 0.500, 0.000], [0.000, 0.000, 0.500], [0.500, 0.000, 0.000], [0.500, 0.500, 0.500], [0.000, 0.000, 0.000]]
}

Arrangement two

{
  "formula": "RbRe3Ag",
  "functional": "PBE-GGA",
  "state": "optimized geometry",
  "cell": [[-2.935, 3.151, 1.868], [-3.513, -1.743, -2.579], [-1.038, -3.010, 3.449]],
  "species": ["Re", "Re", "Re", "Rb", "Ag"],
  "fractional_positions": [[0.000, 0.500, 0.000], [0.000, 0.000, 0.500], [0.500, 0.000, 0.000], [0.000, 0.000, 0.000], [0.500, 0.500, 0.500]]
}

Least stable: arrangement two

Arrangement one

{
  "formula": "RbReAg3",
  "functional": "PBE-GGA",
  "state": "optimized geometry",
  "cell": [[-0.004, 5.248, -1.954], [-1.995, 1.825, 4.904], [5.232, 0.699, 1.868]],
  "species": ["Re", "Rb", "Ag", "Ag", "Ag"],
  "fractional_positions": [[0.500, 0.500, 0.500], [0.000, 0.000, 0.000], [0.000, 0.500, 0.000], [0.000, 0.000, 0.500], [0.500, 0.000, 0.000]]
}

Arrangement two

{
  "formula": "RbReAg3",
  "functional": "PBE-GGA",
  "state": "optimized geometry",
  "cell": [[-1.958, -4.356, -2.355], [0.270, -2.623, 4.626], [-4.944, 1.582, 1.186]],
  "species": ["Re", "Rb", "Ag", "Ag", "Ag"],
  "fractional_positions": [[0.000, 0.000, 0.000], [0.500, 0.500, 0.500], [0.000, 0.500, 0.000], [0.000, 0.000, 0.500], [0.500, 0.000, 0.000]]
}

Least stable: arrangement one

Arrangement one

{
  "formula": "RbAg3Rh",
  "functional": "PBE-GGA",
  "state": "optimized geometry",
  "cell": [[-1.928, 1.424, 4.903], [-1.033, -5.242, 1.117], [5.001, -0.534, 2.121]],
  "species": ["Rh", "Rb", "Ag", "Ag", "Ag"],
  "fractional_positions": [[0.500, 0.500, 0.500], [0.000, 0.000, 0.000], [0.000, 0.500, 0.000], [0.000, 0.000, 0.500], [0.500, 0.000, 0.000]]
}

Arrangement two

{
  "formula": "RbAg3Rh",
  "functional": "PBE-GGA",
  "state": "optimized geometry",
  "cell": [[5.217, 0.000, 0.000], [0.000, 5.217, 0.000], [0.000, 0.000, 5.217]],
  "species": ["Rh", "Rb", "Ag", "Ag", "Ag"],
  "fractional_positions": [[0.000, 0.000, 0.000], [0.500, 0.500, 0.500], [0.000, 0.500, 0.000], [0.000, 0.000, 0.500], [0.500, 0.000, 0.000]]
}

Least stable: arrangement one

Arrangement one

{
  "formula": "RbAgRh2",
  "functional": "PBE-GGA",
  "state": "optimized geometry",
  "cell": [[4.772, 0.000, 0.000], [0.000, 4.772, 0.000], [2.386, 2.386, 9.828]],
  "species": ["Rh", "Rh", "Rh", "Rh", "Rb", "Rb", "Ag", "Ag"],
  "fractional_positions": [[0.861, 0.125, 0.250], [0.889, 0.625, 0.250], [0.375, 0.139, 0.750], [0.875, 0.111, 0.750], [0.500, 0.500, 0.000], [0.250, 0.750, 0.500], [0.000, 0.000, 0.000], [0.750, 0.250, 0.500]]
}

Arrangement two

{
  "formula": "RbAgRh2",
  "functional": "PBE-GGA",
  "state": "optimized geometry",
  "cell": [[0.014, -4.324, -2.125], [-1.060, -3.944, 2.557], [-4.152, -2.322, -0.764]],
  "species": ["Rh", "Rh", "Rb", "Ag"],
  "fractional_positions": [[0.250, 0.250, 0.250], [0.750, 0.750, 0.750], [0.000, 0.000, 0.000], [0.500, 0.500, 0.500]]
}

Least stable: arrangement two

Arrangement one

{
  "formula": "RbAg2Rh",
  "functional": "PBE-GGA",
  "state": "optimized geometry",
  "cell": [[-3.416, -3.629, -0.553], [-2.024, -2.175, 4.039], [-4.795, 0.870, 1.178]],
  "species": ["Rh", "Rb", "Ag", "Ag"],
  "fractional_positions": [[0.500, 0.500, 0.500], [0.000, 0.000, 0.000], [0.250, 0.250, 0.250], [0.750, 0.750, 0.750]]
}

Arrangement two

{
  "formula": "RbAg2Rh",
  "functional": "PBE-GGA",
  "state": "optimized geometry",
  "cell": [[5.441, 0.000, 0.000], [0.000, 5.441, 0.000], [2.720, 2.720, 9.042]],
  "species": ["Rh", "Rh", "Rb", "Rb", "Ag", "Ag", "Ag", "Ag"],
  "fractional_positions": [[0.000, 0.000, 0.000], [0.750, 0.250, 0.500], [0.500, 0.500, 0.000], [0.250, 0.750, 0.500], [0.874, 0.125, 0.250], [0.876, 0.625, 0.250], [0.375, 0.126, 0.750], [0.875, 0.124, 0.750]]
}

Least stable: arrangement one

Arrangement one

{
  "formula": "RbAgSn2Rh",
  "functional": "PBE-GGA",
  "state": "optimized geometry",
  "cell": [[5.255, 0.000, 0.000], [0.000, 5.745, 0.000], [0.000, 0.000, 5.255]],
  "species": ["Rb", "Rh", "Sn", "Sn", "Ag"],
  "fractional_positions": [[0.000, 0.500, 0.000], [0.500, 0.500, 0.500], [0.000, 0.000, 0.500], [0.500, 0.000, 0.000], [0.000, 0.000, 0.000]]
}

Arrangement two

{
  "formula": "RbAgSn2Rh",
  "functional": "PBE-GGA",
  "state": "optimized geometry",
  "cell": [[5.904, 0.000, 0.000], [0.000, 5.267, 0.000], [0.000, 0.000, 5.904]],
  "species": ["Rb", "Rh", "Sn", "Sn", "Ag"],
  "fractional_positions": [[0.000, 0.000, 0.000], [0.500, 0.500, 0.500], [0.000, 0.000, 0.500], [0.500, 0.000, 0.000], [0.000, 0.500, 0.000]]
}

Least stable: arrangement two